# 1
# CoSb3F, relaxed, DFT GGA+U
# Density of states at the Fermi level: 3.221 states/eV/cell
# Magnetic moment: 0.000 μB per formula unit
# VASP energy: -3.25 eV/atom
# Space-group type: Pm-3m
data_CoSb3F
_chemical_formula_sum 'Co1 Sb3 F1'
_symmetry_space_group_name_H-M 'P 1'
_symmetry_Int_Tables_number 1
_cell_length_a 4.797
_cell_length_b 4.797
_cell_length_c 4.797
_cell_angle_alpha 90.00
_cell_angle_beta 90.00
_cell_angle_gamma 90.00
loop_
_symmetry_equiv_pos_as_xyz
'x,y,z'
loop_
_atom_site_label
_atom_site_type_symbol
_atom_site_fract_x
_atom_site_fract_y
_atom_site_fract_z
_atom_site_occupancy
Co1 Co 0.000 0.000 0.000 1
Sb1 Sb 0.000 0.500 0.500 1
Sb2 Sb 0.500 0.000 0.500 1
Sb3 Sb 0.500 0.500 0.000 1
F1 F 0.500 0.500 0.500 1



# 2
# CoSbF6, relaxed, DFT GGA+U
# Density of states at the Fermi level: 2.886 states/eV/cell
# Magnetic moment: 2.224 μB per formula unit
# VASP energy: -4.74 eV/atom
# Space-group type: P-1
data_CoSbF6
_chemical_formula_sum 'Co1 Sb1 F6'
_symmetry_space_group_name_H-M 'P 1'
_symmetry_Int_Tables_number 1
_cell_length_a 5.377
_cell_length_b 5.400
_cell_length_c 5.690
_cell_angle_alpha 62.17
_cell_angle_beta 62.14
_cell_angle_gamma 60.56
loop_
_symmetry_equiv_pos_as_xyz
'x,y,z'
loop_
_atom_site_label
_atom_site_type_symbol
_atom_site_fract_x
_atom_site_fract_y
_atom_site_fract_z
_atom_site_occupancy
Co1 Co 0.000 0.000 0.000 1
Sb1 Sb 0.500 0.500 0.500 1
F1 F 0.144 0.749 0.751 1
F2 F 0.247 0.644 0.249 1
F3 F 0.357 0.141 0.748 1
F4 F 0.643 0.859 0.252 1
F5 F 0.753 0.356 0.751 1
F6 F 0.856 0.251 0.249 1



# 3
# CoSb2TeF, relaxed, DFT GGA+U
# Density of states at the Fermi level: 3.284 states/eV/cell
# Magnetic moment: 1.770 μB per formula unit
# VASP energy: -3.51 eV/atom
# Space-group type: P4/mmm
data_CoSb2TeF
_chemical_formula_sum 'Co1 Sb2 Te1 F1'
_symmetry_space_group_name_H-M 'P 1'
_symmetry_Int_Tables_number 1
_cell_length_a 4.954
_cell_length_b 4.954
_cell_length_c 4.983
_cell_angle_alpha 90.00
_cell_angle_beta 90.00
_cell_angle_gamma 90.00
loop_
_symmetry_equiv_pos_as_xyz
'x,y,z'
loop_
_atom_site_label
_atom_site_type_symbol
_atom_site_fract_x
_atom_site_fract_y
_atom_site_fract_z
_atom_site_occupancy
Co1 Co 0.000 0.000 0.000 1
Sb1 Sb 0.000 0.500 0.000 1
Sb2 Sb 0.500 0.000 0.000 1
Te1 Te 0.000 0.000 0.500 1
F1 F 0.500 0.500 0.500 1



# 4
# CoSbTe2F, relaxed, DFT GGA+U
# Density of states at the Fermi level: 3.182 states/eV/cell
# Magnetic moment: 2.942 μB per formula unit
# VASP energy: -3.13 eV/atom
# Space-group type: P4/mmm
data_CoSbTe2F
_chemical_formula_sum 'Co1 Sb1 Te2 F1'
_symmetry_space_group_name_H-M 'P 1'
_symmetry_Int_Tables_number 1
_cell_length_a 5.372
_cell_length_b 5.372
_cell_length_c 4.362
_cell_angle_alpha 90.00
_cell_angle_beta 90.00
_cell_angle_gamma 90.00
loop_
_symmetry_equiv_pos_as_xyz
'x,y,z'
loop_
_atom_site_label
_atom_site_type_symbol
_atom_site_fract_x
_atom_site_fract_y
_atom_site_fract_z
_atom_site_occupancy
Co1 Co 0.000 0.000 0.000 1
Sb1 Sb 0.500 0.500 0.000 1
Te1 Te 0.000 0.500 0.500 1
Te2 Te 0.500 0.000 0.500 1
F1 F 0.500 0.500 0.500 1



# 5
# CoSb2TeF, relaxed, DFT GGA+U
# Density of states at the Fermi level: 3.350 states/eV/cell
# Magnetic moment: 2.300 μB per formula unit
# VASP energy: -3.36 eV/atom
# Space-group type: P4/mmm
data_CoSb2TeF
_chemical_formula_sum 'Co1 Sb2 Te1 F1'
_symmetry_space_group_name_H-M 'P 1'
_symmetry_Int_Tables_number 1
_cell_length_a 4.664
_cell_length_b 4.664
_cell_length_c 5.570
_cell_angle_alpha 90.00
_cell_angle_beta 90.00
_cell_angle_gamma 90.00
loop_
_symmetry_equiv_pos_as_xyz
'x,y,z'
loop_
_atom_site_label
_atom_site_type_symbol
_atom_site_fract_x
_atom_site_fract_y
_atom_site_fract_z
_atom_site_occupancy
Co1 Co 0.000 0.000 0.000 1
Sb1 Sb 0.000 0.500 0.500 1
Sb2 Sb 0.500 0.000 0.500 1
Te1 Te 0.500 0.500 0.000 1
F1 F 0.500 0.500 0.500 1



# 6
# CoSbTe2F, relaxed, DFT GGA+U
# Density of states at the Fermi level: 4.146 states/eV/cell
# Magnetic moment: 1.647 μB per formula unit
# VASP energy: -3.29 eV/atom
# Space-group type: P4/mmm
data_CoSbTe2F
_chemical_formula_sum 'Co1 Sb1 Te2 F1'
_symmetry_space_group_name_H-M 'P 1'
_symmetry_Int_Tables_number 1
_cell_length_a 4.989
_cell_length_b 4.989
_cell_length_c 4.974
_cell_angle_alpha 90.00
_cell_angle_beta 90.00
_cell_angle_gamma 90.00
loop_
_symmetry_equiv_pos_as_xyz
'x,y,z'
loop_
_atom_site_label
_atom_site_type_symbol
_atom_site_fract_x
_atom_site_fract_y
_atom_site_fract_z
_atom_site_occupancy
Co1 Co 0.000 0.000 0.000 1
Sb1 Sb 0.000 0.000 0.500 1
Te1 Te 0.000 0.500 0.000 1
Te2 Te 0.500 0.000 0.000 1
F1 F 0.500 0.500 0.500 1



# 7
# VCoSbF2, relaxed, DFT GGA+U
# Density of states at the Fermi level: 2.152 states/eV/cell
# Magnetic moment: 0.266 μB per formula unit
# VASP energy: -4.14 eV/atom
# Space-group type: P4/mmm
data_VCoSbF2
_chemical_formula_sum 'V1 Co1 Sb1 F2'
_symmetry_space_group_name_H-M 'P 1'
_symmetry_Int_Tables_number 1
_cell_length_a 4.336
_cell_length_b 4.336
_cell_length_c 5.132
_cell_angle_alpha 90.00
_cell_angle_beta 90.00
_cell_angle_gamma 90.00
loop_
_symmetry_equiv_pos_as_xyz
'x,y,z'
loop_
_atom_site_label
_atom_site_type_symbol
_atom_site_fract_x
_atom_site_fract_y
_atom_site_fract_z
_atom_site_occupancy
V1 V 0.000 0.000 0.000 1
Co1 Co 0.500 0.500 0.000 1
Sb1 Sb 0.500 0.500 0.500 1
F1 F 0.000 0.500 0.500 1
F2 F 0.500 0.000 0.500 1



# 8
# ZnCo2SbF, relaxed, DFT GGA+U
# Density of states at the Fermi level: 2.079 states/eV/cell
# Magnetic moment: 3.887 μB per formula unit
# VASP energy: -3.30 eV/atom
# Space-group type: P4/mmm
data_ZnCo2SbF
_chemical_formula_sum 'Zn1 Co2 Sb1 F1'
_symmetry_space_group_name_H-M 'P 1'
_symmetry_Int_Tables_number 1
_cell_length_a 4.110
_cell_length_b 4.110
_cell_length_c 5.137
_cell_angle_alpha 90.00
_cell_angle_beta 90.00
_cell_angle_gamma 90.00
loop_
_symmetry_equiv_pos_as_xyz
'x,y,z'
loop_
_atom_site_label
_atom_site_type_symbol
_atom_site_fract_x
_atom_site_fract_y
_atom_site_fract_z
_atom_site_occupancy
Zn1 Zn 0.000 0.000 0.000 1
Co1 Co 0.000 0.500 0.500 1
Co2 Co 0.500 0.000 0.500 1
Sb1 Sb 0.500 0.500 0.000 1
F1 F 0.500 0.500 0.500 1